Record 1
SrZrAs2S8: optimized geometry, PBE.

Summary:
Volume ... 24.40 Å³ per atom
Total energy ... -60.0 eV for the cell shown
Theoretical density ... 3.32 g/cm³
Uncorrected formation energy ... -0.6202 eV/atom

a b c (Å): 6.1776 6.1776 8.8607
angles (deg): 90.00 90.00 120.00
Space group P-3 (No. 147)
Unique sites:
Sr (0.0000, 0.0000, 0.0000)
Zr (0.0000, 0.0000, 0.5000)
As (0.3333, 0.6667, 0.7474)
S (0.0146, 0.6809, 0.3204)
S (0.3333, 0.6667, 0.9877)


Record 2
Ta2AsS: optimized geometry, PBE.

Summary:
Volume ... 15.82 Å³ per atom
Total energy ... -135.0 eV for the cell shown
Energy above the most stable polymorph in this dataset ... 0.000 eV/atom
Theoretical density ... 12.30 g/cm³
Uncorrected formation energy ... -0.3186 eV/atom

a b c (Å): 6.326 6.326 6.326
angles (deg): 90.00 90.00 90.00
Space group Fm-3m (No. 225)
Unique sites:
Ta (0.250, 0.250, 0.250)
As (0.000, 0.000, 0.000)
S (0.000, 0.000, 0.500)


Record 3
Ta3AsS: optimized geometry, PBE.

Summary:
Volume ... 18.92 Å³ per atom
Total energy ... -41.9 eV for the cell shown
Energy above the most stable polymorph in this dataset ... 0.000 eV/atom
Theoretical density ... 11.41 g/cm³
Uncorrected formation energy ... 0.4795 eV/atom

a b c (Å): 4.557 4.557 4.557
angles (deg): 90.00 90.00 90.00
Space group Pm-3m (No. 221)
Unique sites:
Ta (0.000, 0.000, 0.500)
As (0.500, 0.500, 0.500)
S (0.000, 0.000, 0.000)


Record 4
TaAsS2: optimized geometry, PBE.

Summary:
Volume ... 19.33 Å³ per atom
Total energy ... -80.7 eV for the cell shown
Theoretical density ... 6.87 g/cm³
Uncorrected formation energy ... -0.5342 eV/atom

a b c (Å): 3.2593 3.2593 25.2071
angles (deg): 90.00 90.00 120.00
Space group R-3m (No. 166, hexagonal axes)
Unique sites:
Ta (0.0000, 0.0000, 0.0000)
As (0.0000, 0.0000, 0.5000)
S (0.0000, 0.0000, 0.3972)


Record 5
TaAsS: optimized geometry, PBE.

Summary:
Volume ... 20.78 Å³ per atom
Total energy ... -169.4 eV for the cell shown
Theoretical density ... 7.67 g/cm³
Uncorrected formation energy ... -0.1803 eV/atom

a b c (Å): 6.622 7.225 10.423
angles (deg): 90.00 90.00 90.00
Space group Fmmm (No. 69)
Unique sites:
Ta (0.211, 0.000, 0.000)
As (0.250, 0.000, 0.250)
S (0.000, 0.223, 0.500)


Record 6
TaAsS3: optimized geometry, PBE.

Summary:
Volume ... 19.60 Å³ per atom
Total energy ... -24.6 eV for the cell shown
Energy above the most stable polymorph in this dataset ... 0.769 eV/atom
Theoretical density ... 5.97 g/cm³
Uncorrected formation energy ... 0.8508 eV/atom

a b c (Å): 4.610 4.610 4.610
angles (deg): 90.00 90.00 90.00
Space group Pm-3m (No. 221)
Unique sites:
Ta (0.000, 0.000, 0.000)
As (0.500, 0.500, 0.500)
S (0.000, 0.500, 0.500)


Record 7
TaAs2S: optimized geometry, PBE.

Summary:
Volume ... 25.17 Å³ per atom
Total energy ... -93.4 eV for the cell shown
Theoretical density ... 5.98 g/cm³
Uncorrected formation energy ... 0.4843 eV/atom

a b c (Å): 5.905 5.905 11.551
angles (deg): 90.00 90.00 90.00
Space group I-42d (No. 122)
Unique sites:
Ta (0.000, 0.000, 0.000)
As (0.236, 0.250, 0.125)
S (0.000, 0.000, 0.500)


Record 8
TaAsS2: optimized geometry, PBE.

Summary:
Volume ... 19.36 Å³ per atom
Total energy ... -70.7 eV for the cell shown
Theoretical density ... 6.86 g/cm³
Uncorrected formation energy ... 0.2953 eV/atom

a b c (Å): 3.3423 3.3423 24.0183
angles (deg): 90.00 90.00 120.00
Space group R-3m (No. 166, hexagonal axes)
Unique sites:
Ta (0.0000, 0.0000, 0.0000)
As (0.0000, 0.0000, 0.5000)
S (0.0000, 0.0000, 0.0985)